Entry 1:
## CsLiNdI6 (PBE)

Data for a geometry-optimized CsLiNdI6 structure.

The space group is C2 (No. 5) and the conventional cell measures 7.618, 13.223 and 9.286 Å, with angles of 90.00, 90.03 and 90.00 degrees. Symmetry generates all atoms from Cs at (0.000, 0.000, 0.000), Li at (0.000, 0.666, 0.500), Nd at (0.000, 0.333, 0.500), I at (0.144, 0.506, 0.303), I at (0.168, 0.819, 0.303) and I at (0.187, 0.175, 0.304).

For the uncorrected formation energy, the calculation gives -1149 meV/atom. As for the total magnetization: 0.000 μB/atom. As for the calculated total energy: -3.0193 eV/atom. The density of states at the Fermi level comes out at 14.8 states/eV/f.u.


Entry 2:
## PaCo2NiGe2 (PBE)

Data for a geometry-optimized PaCo2NiGe2 structure.

The space group is P4/mmm (No. 123) and the conventional cell measures 4.440, 4.440 and 5.002 Å, with angles of 90.00, 90.00 and 90.00 degrees. Symmetry generates all atoms from Pa at (0.000, 0.000, 0.000), Co at (0.500, 0.500, 0.235), Ni at (0.000, 0.000, 0.500) and Ge at (0.000, 0.500, 0.500).

As for the total magnetization: 0.197 μB/atom. As for the calculated total energy: -6.3539 eV/atom. The density of states at the Fermi level comes out at 6.6 states/eV/f.u.


Entry 3:
## BeZnInNiPd (PBE)

Data for a geometry-optimized BeZnInNiPd structure.

The space group is I4mm (No. 107) and the conventional cell measures 2.969, 2.969 and 15.707 Å, with angles of 90.00, 90.00 and 90.00 degrees. Symmetry generates all atoms from Be at (0.000, 0.000, 0.000), Zn at (0.000, 0.000, 0.595), In at (0.000, 0.000, 0.824), Ni at (0.000, 0.000, 0.437) and Pd at (0.000, 0.000, 0.200).

The calculation puts the polymorph energy (0 for the lowest one) at 15 meV per atom. As for the total magnetization: 0.000 μB/atom. As for the calculated total energy: -3.9817 eV/atom. The density of states at the Fermi level comes out at 2.5 states/eV/f.u.


Entry 4:
## HgSeBr (PBE)

Data for a geometry-optimized HgSeBr structure.

The space group is P1 (No. 1) and the conventional cell measures 4.301, 6.604 and 7.982 Å, with angles of 105.76, 104.52 and 92.26 degrees. Symmetry generates all atoms from Hg at (0.000, 0.000, 0.000), Hg at (0.332, 0.403, 0.663), Se at (0.716, 0.023, 0.246), Se at (0.818, 0.384, 0.417), Br at (0.163, 0.922, 0.705) and Br at (0.785, 0.487, 0.957).

The calculation puts the polymorph energy (0 for the lowest one) at 17 meV per atom. For the uncorrected formation energy, the calculation gives -265 meV/atom. As for the total magnetization: 0.000 μB/atom. As for the calculated total energy: -2.0852 eV/atom.